Record 1
First-principles (PBE) data for Ac2MgAs3Pd4 after structural relaxation, as listed in Alexandria.

Output
The final energy comes out at -53.623 eV/cell. The symmetry is P-4m2 (115). As for the density: 8907 kg/m³. Its formation energy is -909 meV/atom. The density of states at the Fermi level comes out at 0.505 states/eV per atom.

Cell lengths 4.4173, 4.4173, 10.7844 Å; angles 90.00, 90.00, 90.00 degrees
Atoms (fractional coordinates):
Ac 0.0000 0.5000 0.2344
Ac 0.5000 0.0000 0.7656
Mg 0.0000 0.0000 0.5000
As 0.0000 0.5000 0.8684
As 0.5000 0.0000 0.1316
As 0.5000 0.5000 0.5000
Pd 0.0000 0.0000 0.0000
Pd 0.0000 0.5000 0.6341
Pd 0.5000 0.0000 0.3659
Pd 0.5000 0.5000 0.0000

***

Record 2
First-principles (PBE) data for AcMgAs2Pd5 after structural relaxation, as listed in Alexandria.

Output
The final energy comes out at -45.774 eV/cell. The symmetry is P4/mmm (123). As for the density: 8171 kg/m³. Its formation energy is -534 meV/atom. The density of states at the Fermi level comes out at 0.655 states/eV per atom.

Cell lengths 4.7316, 4.7316, 8.4719 Å; angles 90.00, 90.00, 90.00 degrees
Atoms (fractional coordinates):
Ac 0.0000 0.0000 0.0000
Mg 0.0000 0.0000 0.5000
As 0.5000 0.5000 0.2832
As 0.5000 0.5000 0.7168
Pd 0.0000 0.5000 0.3274
Pd 0.0000 0.5000 0.6726
Pd 0.5000 0.0000 0.3274
Pd 0.5000 0.0000 0.6726
Pd 0.5000 0.5000 0.0000

***

Record 3
First-principles (PBE) data for AcMgAs2Pd2 after structural relaxation, as listed in Alexandria.

Output
The final energy comes out at -30.787 eV/cell. The symmetry is P-3m1 (164). As for the density: 8269 kg/m³. Its formation energy is -900 meV/atom. The density of states at the Fermi level comes out at 0.476 states/eV per atom.

Cell lengths 4.3961, 4.3961, 7.3666 Å; angles 90.00, 90.00, 120.00 degrees
Atoms (fractional coordinates):
Ac 0.0000 0.0000 0.0000
Mg 0.0000 0.0000 0.5000
As 0.3333 0.6667 0.7310
As 0.6667 0.3333 0.2690
Pd 0.3333 0.6667 0.3352
Pd 0.6667 0.3333 0.6648

***

Record 4
First-principles (PBE) data for Ac2MgAs3Pt4 after structural relaxation, as listed in Alexandria.

Output
The final energy comes out at -57.230 eV/cell. The symmetry is P-4m2 (115). As for the density: 11682 kg/m³. Its formation energy is -931 meV/atom. The density of states at the Fermi level comes out at 0.568 states/eV per atom.

Cell lengths 4.4611, 4.4611, 10.5949 Å; angles 90.00, 90.00, 90.00 degrees
Atoms (fractional coordinates):
Ac 0.0000 0.5000 0.2375
Ac 0.5000 0.0000 0.7625
Mg 0.0000 0.0000 0.5000
As 0.0000 0.5000 0.8709
As 0.5000 0.0000 0.1291
As 0.5000 0.5000 0.5000
Pt 0.0000 0.0000 0.0000
Pt 0.0000 0.5000 0.6326
Pt 0.5000 0.0000 0.3674
Pt 0.5000 0.5000 0.0000

***

Record 5
First-principles (PBE) data for AcMgAsPt after structural relaxation, as listed in Alexandria.

Output
The final energy comes out at -77.859 eV/cell. The symmetry is F-43m (216). As for the density: 9143 kg/m³. Its formation energy is -768 meV/atom. The density of states at the Fermi level comes out at 0.033 states/eV per atom.

Cell lengths 7.2349, 7.2349, 7.2349 Å; angles 90.00, 90.00, 90.00 degrees
Atoms (fractional coordinates):
Ac 0.0000 0.0000 0.0000
Ac 0.0000 0.5000 0.5000
Ac 0.5000 0.0000 0.5000
Ac 0.5000 0.5000 0.0000
Mg 0.0000 0.0000 0.5000
Mg 0.0000 0.5000 0.0000
Mg 0.5000 0.0000 0.0000
Mg 0.5000 0.5000 0.5000
As 0.2500 0.2500 0.2500
As 0.2500 0.7500 0.7500
As 0.7500 0.2500 0.7500
As 0.7500 0.7500 0.2500
Pt 0.2500 0.2500 0.7500
Pt 0.2500 0.7500 0.2500
Pt 0.7500 0.2500 0.2500
Pt 0.7500 0.7500 0.7500

***

Record 6
First-principles (PBE) data for Ac2MgAs4Pt3 after structural relaxation, as listed in Alexandria.

Output
The final energy comes out at -55.833 eV/cell. The symmetry is P-4m2 (115). As for the density: 10547 kg/m³. Its formation energy is -930 meV/atom. The density of states at the Fermi level comes out at 0.473 states/eV per atom.

Cell lengths 4.5297, 4.5297, 10.4606 Å; angles 90.00, 90.00, 90.00 degrees
Atoms (fractional coordinates):
Ac 0.0000 0.5000 0.2388
Ac 0.5000 0.0000 0.7612
Mg 0.0000 0.0000 0.5000
As 0.0000 0.0000 0.0000
As 0.0000 0.5000 0.6396
As 0.5000 0.0000 0.3604
As 0.5000 0.5000 0.0000
Pt 0.0000 0.5000 0.8860
Pt 0.5000 0.0000 0.1140
Pt 0.5000 0.5000 0.5000

***

Record 7
First-principles (PBE) data for AcMgAs2Rh5 after structural relaxation, as listed in Alexandria.

Output
The final energy comes out at -55.850 eV/cell. The symmetry is P4/mmm (123). As for the density: 8496 kg/m³. Its formation energy is -454 meV/atom. The density of states at the Fermi level comes out at 0.478 states/eV per atom.

Cell lengths 4.2237, 4.2237, 10.0317 Å; angles 90.00, 90.00, 90.00 degrees
Atoms (fractional coordinates):
Ac 0.0000 0.0000 0.0000
Mg 0.0000 0.0000 0.5000
As 0.5000 0.5000 0.2373
As 0.5000 0.5000 0.7627
Rh 0.0000 0.5000 0.3468
Rh 0.0000 0.5000 0.6532
Rh 0.5000 0.0000 0.3468
Rh 0.5000 0.0000 0.6532
Rh 0.5000 0.5000 0.0000

***

Record 8
First-principles (PBE) data for Ac2MnAs after structural relaxation, as listed in Alexandria.

Output
As for the energy above the most stable polymorph in this dataset: 127 meV/atom. The final energy comes out at -91.092 eV/cell. The symmetry is Fm-3m (225). As for the density: 8279 kg/m³. Its formation energy is -184 meV/atom. The density of states at the Fermi level comes out at 1.153 states/eV per atom.

Cell lengths 7.7663, 7.7663, 7.7663 Å; angles 90.00, 90.00, 90.00 degrees
Atoms (fractional coordinates):
Ac 0.2500 0.2500 0.2500
Ac 0.2500 0.2500 0.7500
Ac 0.2500 0.7500 0.2500
Ac 0.2500 0.7500 0.7500
Ac 0.7500 0.2500 0.2500
Ac 0.7500 0.2500 0.7500
Ac 0.7500 0.7500 0.2500
Ac 0.7500 0.7500 0.7500
Mn 0.0000 0.0000 0.0000
Mn 0.0000 0.5000 0.5000
Mn 0.5000 0.0000 0.5000
Mn 0.5000 0.5000 0.0000
As 0.0000 0.0000 0.5000
As 0.0000 0.5000 0.0000
As 0.5000 0.0000 0.0000
As 0.5000 0.5000 0.5000

***

Record 9
First-principles (PBE) data for AcMnAs2 after structural relaxation, as listed in Alexandria.

Output
As for the energy above the most stable polymorph in this dataset: 0 meV/atom. The final energy comes out at -75.396 eV/cell. The symmetry is R-3m (166). As for the density: 7750 kg/m³. Its formation energy is -639 meV/atom. The density of states at the Fermi level comes out at 0.657 states/eV per atom.

Cell lengths 4.1389, 4.1389, 18.7074 Å; angles 90.00, 90.00, 120.00 degrees
Atoms (fractional coordinates):
Ac 0.0000 0.0000 0.0000
Ac 0.3333 0.6667 0.6667
Ac 0.6667 0.3333 0.3333
Mn 0.0000 0.0000 0.5000
Mn 0.3333 0.6667 0.1667
Mn 0.6667 0.3333 0.8333
As 0.0000 0.0000 0.2263
As 0.0000 0.0000 0.7737
As 0.3333 0.6667 0.4403
As 0.3333 0.6667 0.8930
As 0.6667 0.3333 0.1070
As 0.6667 0.3333 0.5597

***

Record 10
First-principles (PBE) data for AcMnAs2 after structural relaxation, as listed in Alexandria.

Output
As for the energy above the most stable polymorph in this dataset: 292 meV/atom. The final energy comes out at -95.860 eV/cell. The symmetry is Fm-3m (225). As for the density: 7556 kg/m³. Its formation energy is -347 meV/atom. The density of states at the Fermi level comes out at 0.683 states/eV per atom.

Cell lengths 7.2405, 7.2405, 7.2405 Å; angles 90.00, 90.00, 90.00 degrees
Atoms (fractional coordinates):
Ac 0.0000 0.0000 0.0000
Ac 0.0000 0.5000 0.5000
Ac 0.5000 0.0000 0.5000
Ac 0.5000 0.5000 0.0000
Mn 0.0000 0.0000 0.5000
Mn 0.0000 0.5000 0.0000
Mn 0.5000 0.0000 0.0000
Mn 0.5000 0.5000 0.5000
As 0.2500 0.2500 0.2500
As 0.2500 0.2500 0.7500
As 0.2500 0.7500 0.2500
As 0.2500 0.7500 0.7500
As 0.7500 0.2500 0.2500
As 0.7500 0.2500 0.7500
As 0.7500 0.7500 0.2500
As 0.7500 0.7500 0.7500

***

Record 11
First-principles (PBE) data for AcMnAs2 after structural relaxation, as listed in Alexandria.

Output
As for the energy above the most stable polymorph in this dataset: 326 meV/atom. The final energy comes out at -23.828 eV/cell. The symmetry is P4/mmm (123). As for the density: 7353 kg/m³. Its formation energy is -313 meV/atom. The density of states at the Fermi level comes out at 0.682 states/eV per atom.

Cell lengths 5.0030, 5.0030, 3.8959 Å; angles 90.00, 90.00, 90.00 degrees
Atoms (fractional coordinates):
Ac 0.0000 0.0000 0.0000
Mn 0.5000 0.5000 0.0000
As 0.0000 0.5000 0.5000
As 0.5000 0.0000 0.5000

***

Record 12
First-principles (PBE) data for AcMnAs2 after structural relaxation, as listed in Alexandria.

Output
As for the energy above the most stable polymorph in this dataset: 364 meV/atom. The final energy comes out at -23.678 eV/cell. The symmetry is P4/mmm (123). As for the density: 7846 kg/m³. Its formation energy is -275 meV/atom. The density of states at the Fermi level comes out at 0.777 states/eV per atom.

Cell lengths 3.7467, 3.7467, 6.5100 Å; angles 90.00, 90.00, 90.00 degrees
Atoms (fractional coordinates):
Ac 0.0000 0.0000 0.0000
Mn 0.0000 0.0000 0.5000
As 0.5000 0.5000 0.3010
As 0.5000 0.5000 0.6990

***

What is the density in the tenth record? 7556 kg/m³

***

Look up the final energy of the twelfth one. -23.678 eV/cell

***

Which of these has the highest final energy? number 12